Version A
Here is a crystal of NiHg2Cl relaxed with PBEsol from Alexandria via LeMat-Bulk. Energies are from SCAN.

abc: 5.4890 5.4890 5.4890
angles: 145.78 113.88 76.60
With the nearest neighbours (Å) after each atom.
Fractional coordinates of all 4 atoms:
Ni 0.0000 0.0000 0.0000  4 Hg 2.55
Hg 0.2290 0.7290 0.5000  2 Ni 2.55, 2 Cl 2.84
Hg 0.7710 0.2710 0.5000  2 Ni 2.55, 2 Cl 2.84
Cl 0.5000 0.5000 0.0000  4 Hg 2.84

Total magnetic moment: 1.09 μB per formula unit
SG: Immm (71)

Version B
Here is a crystal of NiHg2Cl relaxed with PBEsol from Alexandria via LeMat-Bulk. Energies are from SCAN.

abc: 3.1383 6.5731 6.5731
angles: 36.32 90.00 90.00
With the nearest neighbours (Å) after each atom.
Fractional coordinates of all 4 atoms:
Ni 0.0000 0.0000 0.0000  2 Cl 2.32
Hg 0.0000 0.7918 0.7918  1 Ni 2.60
Hg 0.5000 0.4480 0.4480  4 Ni 2.66
Cl 0.5000 0.1370 0.1370  2 Ni 2.32

Total magnetic moment: 0.95 μB per formula unit
SG: Amm2 (38)

Quick one: least stable of them? version A

Version A
Here is a crystal of NiHg2Cl relaxed with PBEsol from Alexandria via LeMat-Bulk. Energies are from SCAN.

abc: 8.3938 8.3938 8.3938
angles: 23.20 23.20 23.20
With the nearest neighbours (Å) after each atom.
Fractional coordinates of all 4 atoms:
Ni 0.0000 0.0000 0.0000  3 Cl 2.27
Hg 0.2588 0.2588 0.2588  3 Ni 2.67
Hg 0.4945 0.4945 0.4945  9 Hg 3.08-3.38, 3 Cl 3.40
Cl 0.7142 0.7142 0.7142  3 Ni 2.27

Total magnetic moment: 1.15 μB per formula unit
SG: R3m (160)

Version B
Here is a crystal of NiHg2Cl relaxed with PBEsol from Alexandria via LeMat-Bulk. Energies are from SCAN.

abc: 7.9715 7.9715 7.9715
angles: 24.65 24.65 24.65
With the nearest neighbours (Å) after each atom.
Fractional coordinates of all 4 atoms:
Ni 0.0000 0.0000 0.0000  6 Hg 2.61
Hg 0.2595 0.2595 0.2595  3 Ni 2.61, 3 Cl 2.91
Hg 0.7405 0.7405 0.7405  3 Ni 2.61, 3 Cl 2.91
Cl 0.5000 0.5000 0.5000  6 Hg 2.91

Total magnetic moment: 1.02 μB per formula unit
SG: R-3m (166)

Quick one: least stable of them? version B

Version A
Here is a crystal of HgPCl2 relaxed with PBEsol from Alexandria via LeMat-Bulk. Energies are from SCAN.

abc: 3.0442 3.0442 8.9019
angles: 90.00 90.00 90.00
With the nearest neighbours (Å) after each atom.
Fractional coordinates of all 4 atoms:
Hg 0.0000 0.0000 0.0000  4 Hg 3.04
P 0.0000 0.0000 0.5000  8 Cl 2.70
Cl 0.5000 0.5000 0.3174  4 P 2.70
Cl 0.5000 0.5000 0.6826  4 P 2.70

Total magnetic moment: 0.00 μB per formula unit
SG: P4/mmm (123)

Version B
Here is a crystal of HgPCl2 relaxed with PBEsol from Alexandria via LeMat-Bulk. Energies are from SCAN.

abc: 3.0874 3.3203 9.1111
angles: 90.00 90.28 90.00
With the nearest neighbours (Å) after each atom.
Fractional coordinates of all 4 atoms:
Hg 0.0000 0.0000 0.0000  4 Hg 3.09-3.32
P 0.5000 0.0000 0.5000  4 Cl 2.38
Cl 0.4956 0.5000 0.3135  2 P 2.38
Cl 0.5044 0.5000 0.6865  2 P 2.38

Total magnetic moment: 0.00 μB per formula unit
SG: P2/m (10)

Quick one: least stable of them? version A

Version A
Here is a crystal of HgPSCl2 relaxed with PBEsol from Alexandria via LeMat-Bulk. Energies are from SCAN.

abc: 4.9705 4.9705 5.1820
angles: 90.00 90.00 90.00
With the nearest neighbours (Å) after each atom.
Fractional coordinates of all 5 atoms:
Hg 0.0000 0.0000 0.0000  4 Cl 2.49, 2 P 2.59
P 0.0000 0.0000 0.5000  2 Hg 2.59
S 0.5000 0.5000 0.5000  4 P 3.51, 8 Cl 3.59
Cl 0.0000 0.5000 0.0000  2 Hg 2.49
Cl 0.5000 0.0000 0.0000  2 Hg 2.49

Total magnetic moment: 0.31 μB per formula unit
SG: P4/mmm (123)

Version B
Here is a crystal of HgPSCl2 relaxed with PBEsol from Alexandria via LeMat-Bulk. Energies are from SCAN.

abc: 4.6565 4.6565 4.8230
angles: 90.00 90.00 90.00
With the nearest neighbours (Å) after each atom.
Fractional coordinates of all 5 atoms:
Hg 0.0000 0.0000 0.0000  4 P 3.29, 8 Cl 3.35
P 0.5000 0.5000 0.0000  2 S 2.41
S 0.5000 0.5000 0.5000  4 Cl 2.33, 2 P 2.41
Cl 0.0000 0.5000 0.5000  2 S 2.33
Cl 0.5000 0.0000 0.5000  2 S 2.33

Total magnetic moment: 0.00 μB per formula unit
SG: P4/mmm (123)

Quick one: least stable of them? version A

Version A
Here is a crystal of ReHgCl2 relaxed with PBEsol from Alexandria via LeMat-Bulk. Energies are from SCAN.

abc: 3.1139 3.1139 10.0040
angles: 90.00 90.00 124.70
With the nearest neighbours (Å) after each atom.
Fractional coordinates of all 4 atoms:
Re 0.0000 0.0000 0.0000  4 Cl 2.38
Hg 0.0000 0.0000 0.5000  6 Hg 2.89-3.11
Cl 0.5000 0.5000 0.1889  2 Re 2.38
Cl 0.5000 0.5000 0.8111  2 Re 2.38

Total magnetic moment: 0.00 μB per formula unit
SG: Cmmm (65)

Version B
Here is a crystal of ReHgCl2 relaxed with PBEsol from Alexandria via LeMat-Bulk. Energies are from SCAN.

abc: 5.0166 5.0166 2.9617
angles: 90.00 90.00 109.40
With the nearest neighbours (Å) after each atom.
Fractional coordinates of all 4 atoms:
Re 0.0000 0.0000 0.0000  2 Hg 2.90, 8 Cl 2.91, 2 Re 2.96
Hg 0.5000 0.5000 0.0000  2 Re 2.90, 8 Cl 2.91, 2 Hg 2.96
Cl 0.0000 0.5000 0.5000  4 Cl 2.90-2.96, 4 Hg 2.91, 4 Re 2.91
Cl 0.5000 0.0000 0.5000  4 Cl 2.90-2.96, 4 Hg 2.91, 4 Re 2.91

Total magnetic moment: 2.05 μB per formula unit
SG: Cmmm (65)

Quick one: least stable of them? version B

Version A
Here is a crystal of HgSbCl2 relaxed with PBEsol from Alexandria via LeMat-Bulk. Energies are from SCAN.

abc: 5.6371 5.6371 5.6371
angles: 134.54 134.54 66.24
With the nearest neighbours (Å) after each atom.
Fractional coordinates of all 4 atoms:
Hg 0.0000 0.0000 0.0000  8 Cl 3.08-3.21, 4 Sb 3.21
Sb 0.7500 0.2500 0.5000  8 Cl 3.08-3.21, 4 Hg 3.21
Cl 0.2500 0.7500 0.5000  4 Sb 3.08, 4 Hg 3.21, 4 Cl 3.21
Cl 0.5000 0.5000 0.0000  4 Hg 3.08, 4 Cl 3.21, 4 Sb 3.21

Total magnetic moment: 0.00 μB per formula unit
SG: I-4m2 (119)

Version B
Here is a crystal of HgSbCl2 relaxed with PBEsol from Alexandria via LeMat-Bulk. Energies are from SCAN.

abc: 5.3946 5.3946 5.3946
angles: 130.52 130.52 72.58
With the nearest neighbours (Å) after each atom.
Fractional coordinates of all 4 atoms:
Hg 0.0000 0.0000 0.0000  8 Cl 3.13, 4 Sb 3.19
Sb 0.5000 0.5000 0.0000  8 Cl 3.13, 4 Hg 3.19
Cl 0.2500 0.7500 0.5000  4 Hg 3.13, 4 Sb 3.13, 4 Cl 3.19
Cl 0.7500 0.2500 0.5000  4 Hg 3.13, 4 Sb 3.13, 4 Cl 3.19

Total magnetic moment: 0.00 μB per formula unit
SG: I4/mmm (139)

Quick one: least stable of them? version A